VASP calculation (SCAN) on a PBEsol-optimized structure of RbLaSb2S.

Geometry as CIF:
```
data_RbLaSb2S
_chemical_formula_sum 'Rb1 La1 Sb2 S1'
_symmetry_space_group_name_H-M 'P 1'
_symmetry_Int_Tables_number 1
_cell_length_a 5.428
_cell_length_b 5.361
_cell_length_c 5.361
_cell_angle_alpha 90.00
_cell_angle_beta 90.00
_cell_angle_gamma 90.00
loop_
_symmetry_equiv_pos_as_xyz
'x,y,z'
loop_
_atom_site_label
_atom_site_fract_x
_atom_site_fract_y
_atom_site_fract_z
Sb1 0.000 0.000 0.500
Sb2 0.000 0.500 0.000
S1 0.000 0.000 0.000
Rb1 0.500 0.000 0.000
La1 0.500 0.500 0.500
```

**Final energy**: -149.0 eV for the cell shown